## AlH2W (PBE)

Data for a relaxed AlH2W crystal.

abc: 3.0462 3.0462 13.6137
angles: 90.00 90.00 120.00
Last column: nearest neighbours and their distance in Å.
Space group R-3m (No. 166, hexagonal axes)
One atom of each set of equivalent atoms:
Al 0.0000 0.0000 0.0000 [3 per cell]  6 H 1.83
H 0.0000 0.0000 0.3709 [6 per cell]  1 W 1.76, 3 Al 1.83
W 0.0000 0.0000 0.5000 [3 per cell]  2 H 1.76

Output
- E above lowest polymorph: 0.000 eV per atom
- Total moment: 0.00 μB/f.u.
- E: -5.653 eV/atom

---

## AcSeI (PBE)

Data for a relaxed AcSeI crystal.

abc: 4.1005 4.1005 12.2607
angles: 90.00 90.00 90.00
Last column: nearest neighbours and their distance in Å.
Space group I4mm (No. 107)
One atom of each set of equivalent atoms:
Ac 0.0000 0.0000 0.0000 [2 per cell]  4 Se 3.16
Se 0.0000 0.0000 0.6016 [2 per cell]  4 Ac 3.16, 1 I 3.53
I 0.0000 0.0000 0.3140 [2 per cell]  5 Se 3.53-3.90, 5 Ac 3.69-3.85

Output
- E above lowest polymorph: 0.234 eV per atom
- Total moment: 0.00 μB/f.u.
- E: -4.626 eV/atom

---

## MgNiGeB2 (PBE)

Data for a relaxed MgNiGeB2 crystal.

abc: 4.2307 4.2307 4.5205
angles: 90.00 90.00 90.00
Last column: nearest neighbours and their distance in Å.
Space group P4/mmm (No. 123)
One atom of each set of equivalent atoms:
Mg 0.0000 0.0000 0.0000 [1 per cell]  4 B 2.12, 2 Ni 2.26
Ni 0.0000 0.0000 0.5000 [1 per cell]  2 Mg 2.26
Ge 0.5000 0.5000 0.5000 [1 per cell]  4 Ni 2.99, 8 B 3.10
B 0.0000 0.5000 0.0000 [2 per cell]  2 Mg 2.12

Output
- E_form: 1.86 eV per atom
- Total moment: 0.00 μB/f.u.
- E: -3.213 eV/atom

---

## CsTlZn2Pt (PBE)

Data for a relaxed CsTlZn2Pt crystal.

abc: 5.1213 5.1213 5.3560
angles: 90.00 90.00 90.00
Last column: nearest neighbours and their distance in Å.
Space group P4/mmm (No. 123)
One atom of each set of equivalent atoms:
Cs 0.0000 0.0000 0.0000 [1 per cell]  4 Tl 3.62, 8 Zn 3.71
Tl 0.5000 0.5000 0.0000 [1 per cell]  2 Pt 2.68
Zn 0.0000 0.5000 0.5000 [2 per cell]  2 Pt 2.56
Pt 0.5000 0.5000 0.5000 [1 per cell]  4 Zn 2.56, 2 Tl 2.68

Output
- E_form: -0.17 eV per atom
- Total moment: 0.00 μB/f.u.
- E: -2.536 eV/atom

---

## Ca2CdCu (PBE)

Data for a relaxed Ca2CdCu crystal.

abc: 5.2734 5.2734 3.6949
angles: 90.00 90.00 90.00
Last column: nearest neighbours and their distance in Å.
Space group P4/mmm (No. 123)
One atom of each set of equivalent atoms:
Ca 0.0000 0.5000 0.0000 [2 per cell]  4 Cu 3.22, 4 Cd 3.22
Cd 0.0000 0.0000 0.5000 [1 per cell]  8 Ca 3.22
Cu 0.5000 0.5000 0.5000 [1 per cell]  8 Ca 3.22

Output
- E_form: -0.17 eV per atom
- Total moment: 0.00 μB/f.u.
- E: -2.419 eV/atom